Entry 1:
A plane-wave DFT calculation with PBE-GGA was carried out for an optimized crystal structure of Al2CrHg.

Results
Its density of states at the Fermi level is 2.41 states/eV per cell. The calculated total energy comes out at -16.5 eV/f.u.

a = 2.9721 Å, b = 2.9721 Å, c = 7.9042 Å
α = 90.00°, β = 90.00°, γ = 90.00°
Space group P4mm (No. 99)
Inequivalent atoms, fractional coordinates:
1 Al 0.0000 0.0000 0.0000
2 Al 0.5000 0.5000 0.2500
3 Cr 0.0000 0.0000 0.4511
4 Hg 0.5000 0.5000 0.7134

---

Entry 2:
A plane-wave DFT calculation with PBE-GGA was carried out for an optimized crystal structure of BaIn2Pt.

Results
Its density of states at the Fermi level is 3.89 states/eV per cell. The calculated total energy comes out at -16.0 eV/f.u.

a = 4.5639 Å, b = 8.1646 Å, c = 6.3385 Å
α = 90.00°, β = 111.04°, γ = 90.00°
Space group P2_1/m (No. 11)
Inequivalent atoms, fractional coordinates:
1 Ba 0.0524 0.2500 0.1050
2 In 0.3370 0.0564 0.6735
3 Pt 0.2240 0.7500 0.4497

---

Entry 3:
A plane-wave DFT calculation with PBE-GGA was carried out for an optimized crystal structure of BeTc3Hg.

Results
Its density of states at the Fermi level is 11.94 states/eV per cell. Its excess energy over the best structure of this formula in the dataset is 2.242 eV per atom.

a = 4.8840 Å, b = 4.8840 Å, c = 4.8840 Å
α = 90.00°, β = 90.00°, γ = 90.00°
Space group Pm-3m (No. 221)
Inequivalent atoms, fractional coordinates:
1 Be 0.0000 0.0000 0.0000
2 Tc 0.0000 0.5000 0.5000
3 Hg 0.5000 0.5000 0.5000

---

Entry 4:
A plane-wave DFT calculation with PBE-GGA was carried out for an optimized crystal structure of Sr2Al2Tc.

Results
Its density of states at the Fermi level is 6.85 states/eV per cell. Its excess energy over the best structure of this formula in the dataset is 0.333 eV per atom.

a = 3.7153 Å, b = 3.7153 Å, c = 20.2961 Å
α = 90.00°, β = 90.00°, γ = 90.00°
Space group I4/mmm (No. 139)
Inequivalent atoms, fractional coordinates:
1 Sr 0.0000 0.0000 0.0975
2 Al 0.0000 0.5000 0.2500
3 Tc 0.0000 0.0000 0.5000

---

Entry 5:
A plane-wave DFT calculation with PBE-GGA was carried out for an optimized crystal structure of SrMo2Au.

Results
Its density of states at the Fermi level is 9.16 states/eV per cell. Its excess energy over the best structure of this formula in the dataset is 0.489 eV per atom.

a = 5.6853 Å, b = 10.6176 Å, c = 2.7744 Å
α = 90.00°, β = 109.88°, γ = 90.00°
Space group C2/m (No. 12)
Inequivalent atoms, fractional coordinates:
1 Sr 0.0000 0.0000 0.0000
2 Mo 0.2500 0.2500 0.5000
3 Au 0.0000 0.5000 0.0000

---

Entry 6:
A plane-wave DFT calculation with PBE-GGA was carried out for an optimized crystal structure of AcNd14Ho.

Results
Its density of states at the Fermi level is 58.78 states/eV per cell. The calculated total energy comes out at -74.8 eV/f.u.

a = 11.9832 Å, b = 7.4256 Å, c = 12.8880 Å
α = 90.00°, β = 90.00°, γ = 90.00°
Space group Amm2 (No. 38)
Inequivalent atoms, fractional coordinates:
1 Ac 0.0000 0.0000 0.0000
2 Nd 0.0000 0.2478 0.7514
3 Nd 0.2474 0.0000 0.3349
4 Nd 0.2509 0.2485 0.5854
5 Nd 0.2538 0.0000 0.8340
6 Nd 0.5000 0.0000 0.0017
7 Nd 0.5000 0.0000 0.5008
8 Nd 0.5000 0.2491 0.2511
9 Ho 0.0000 0.0000 0.5023

---

Entry 7:
A plane-wave DFT calculation with PBE-GGA was carried out for an optimized crystal structure of Pu3Ga2Pd4.

Results
Its density of states at the Fermi level is 58.15 states/eV per cell. The calculated total energy comes out at -74.7 eV/f.u.

a = 10.3151 Å, b = 4.6728 Å, c = 8.5991 Å
α = 90.00°, β = 122.09°, γ = 90.00°
Space group C2/m (No. 12)
Inequivalent atoms, fractional coordinates:
1 Pu 0.0000 0.0000 0.0000
2 Pu 0.1501 0.5000 0.6763
3 Ga 0.1418 0.5000 0.3083
4 Pd 0.0712 0.0000 0.3915
5 Pd 0.2207 0.5000 0.0690

---

Entry 8:
A plane-wave DFT calculation with PBE-GGA was carried out for an optimized crystal structure of TiCdPd2.

Results
Its density of states at the Fermi level is 3.17 states/eV per cell. The calculated total energy comes out at -21.2 eV/f.u.

a = 3.1310 Å, b = 3.1310 Å, c = 6.8966 Å
α = 90.00°, β = 90.00°, γ = 90.00°
Space group P4/mmm (No. 123)
Inequivalent atoms, fractional coordinates:
1 Ti 0.0000 0.0000 0.0000
2 Cd 0.0000 0.0000 0.5000
3 Pd 0.5000 0.5000 0.2190

---

Entry 9:
A plane-wave DFT calculation with PBE-GGA was carried out for an optimized crystal structure of CdRuRh2.

Results
Its density of states at the Fermi level is 5.17 states/eV per cell. The calculated total energy comes out at -23.5 eV/f.u.

a = 2.8503 Å, b = 4.6330 Å, c = 4.7402 Å
α = 90.00°, β = 90.00°, γ = 90.00°
Space group Pmmm (No. 47)
Inequivalent atoms, fractional coordinates:
1 Cd 0.0000 0.0000 0.0000
2 Ru 0.5000 0.0000 0.5000
3 Rh 0.0000 0.5000 0.5000
4 Rh 0.5000 0.5000 0.0000

---

Entry 10:
A plane-wave DFT calculation with PBE-GGA was carried out for an optimized crystal structure of RbNb2Se2.

Results
Its density of states at the Fermi level is 1.59 states/eV per cell. Its excess energy over the best structure of this formula in the dataset is 0.000 eV per atom. The energy relative to the elements, uncorrected comes out at -0.777 eV per atom.

a = 3.9763 Å, b = 3.9763 Å, c = 15.7403 Å
α = 90.00°, β = 90.00°, γ = 90.00°
Space group I4/mmm (No. 139)
Inequivalent atoms, fractional coordinates:
1 Rb 0.0000 0.0000 0.0000
2 Nb 0.0000 0.5000 0.2500
3 Se 0.0000 0.0000 0.3652

---

Entry 11:
A plane-wave DFT calculation with PBE-GGA was carried out for an optimized crystal structure of LiZrNb2N4.

Results
Its density of states at the Fermi level is 5.09 states/eV per cell. The energy relative to the elements, uncorrected comes out at -1.162 eV per atom.

a = 4.4237 Å, b = 4.4237 Å, c = 8.7929 Å
α = 90.00°, β = 90.00°, γ = 90.00°
Space group I4/mmm (No. 139)
Inequivalent atoms, fractional coordinates:
1 Li 0.0000 0.0000 0.0000
2 Zr 0.0000 0.0000 0.5000
3 Nb 0.0000 0.5000 0.2500
4 N 0.0000 0.0000 0.2423
5 N 0.0000 0.5000 0.0000

---

Entry 12:
A plane-wave DFT calculation with PBE-GGA was carried out for an optimized crystal structure of Ag6TeSe3.

Results
Its density of states at the Fermi level is 8.99 states/eV per cell. The energy relative to the elements, uncorrected comes out at 0.023 eV per atom.

a = 6.5808 Å, b = 6.7007 Å, c = 12.1254 Å
α = 90.00°, β = 116.63°, γ = 90.00°
Space group P2_1/c (No. 14)
Inequivalent atoms, fractional coordinates:
1 Ag 0.0527 0.1415 0.4188
2 Ag 0.1684 0.7147 0.3703
3 Ag 0.3097 0.0539 0.2403
4 Te 0.5000 0.0000 0.5000
5 Se 0.0000 0.0000 0.0000
6 Se 0.2934 0.0445 0.7495